The following is a DFT calculation (PBE-GGA) of crystalline GdErTlPb at its relaxed geometry.

Properties
The calculation puts the formation energy at -366 meV per atom. The volume is 28.1 Å³ per atom. As for the theoretical density: 10.89 g/cm3.

abc: 5.4147 5.4147 5.4147
angles: 60.00 60.00 60.00
Each line ends with the local moment (μB).
Element x y z (fractional)
Pb 0.5000 0.5000 0.5000  -0.02
Er 0.2500 0.2500 0.2500  0.07
Tl 0.0000 0.0000 0.0000  -0.03
Gd 0.7500 0.7500 0.7500  7.06

***

The following is a DFT calculation (PBE-GGA) of crystalline GdErPd2 at its relaxed geometry.

Properties
The calculation puts the formation energy at -872 meV per atom. The volume is 21.7 Å³ per atom. As for the energy above the lowest structure with this stoichiometry: 0.002 eV per atom. As for the theoretical density: 10.27 g/cm3.

abc: 4.9712 4.9712 4.9712
angles: 60.00 60.00 60.00
Each line ends with the local moment (μB).
Element x y z (fractional)
Gd 0.0000 0.0000 0.0000  7.02
Er 0.5000 0.5000 0.5000  0.04
Pd 0.7500 0.7500 0.7500  0.01
Pd 0.2500 0.2500 0.2500  0.01

***

The following is a DFT calculation (PBE-GGA) of crystalline GdErPd2 at its relaxed geometry.

Properties
The calculation puts the formation energy at -737 meV per atom. The volume is 24.1 Å³ per atom. As for the energy above the lowest structure with this stoichiometry: 0.137 eV per atom. As for the theoretical density: 9.26 g/cm3.

abc: 4.0917 4.0917 7.0512
angles: 73.13 73.13 60.00
Each line ends with the local moment (μB).
Element x y z (fractional)
Er 0.0000 0.0000 0.0000  -0.01
Pd 0.7471 0.7471 0.7586  0.00
Pd 0.2529 0.2529 0.2414  0.00
Gd 0.5000 0.5000 0.5000  -7.01